DFT (PBE+U) results for crystalline ZnNiF6 at its relaxed geometry. Values from VASP.

```
&SYSTEM
  ibrav = 0, nat = 8, ntyp = 3
/
ATOMIC_SPECIES
Ni 58.69 Ni.upf
Zn 65.41 Zn.upf
F 19.00 F.upf
CELL_PARAMETERS angstrom
4.939 -0.004 -0.004
2.474 4.275 -0.002
2.475 1.422 4.412
ATOMIC_POSITIONS crystal
Ni 0.500 0.500 0.500
Zn 0.000 0.000 0.000
F 0.271 0.598 0.263
F 0.402 0.132 0.737
F 0.598 0.868 0.263
F 0.868 0.271 0.263
F 0.729 0.402 0.737
F 0.132 0.729 0.737
```

## Properties
Electronic total energy = -28.57 eV for the cell shown
Calculated volume = 93.2 Å³/cell